DFT (PBE) results for crystalline PuFe5Si3 at its relaxed geometry.

```
PuFe5Si3
1.0
1.933 -6.111 0.000
1.933 6.111 0.000
0.000 0.000 10.499
Pu Fe Si
2 10 6
direct
0.204 0.796 0.750 Pu
0.796 0.204 0.250 Pu
0.000 0.000 0.000 Fe
0.000 0.000 0.500 Fe
0.187 0.813 0.058 Fe
0.187 0.813 0.442 Fe
0.463 0.537 0.639 Fe
0.463 0.537 0.861 Fe
0.537 0.463 0.139 Fe
0.537 0.463 0.361 Fe
0.813 0.187 0.558 Fe
0.813 0.187 0.942 Fe
0.090 0.910 0.250 Si
0.368 0.632 0.049 Si
0.368 0.632 0.451 Si
0.632 0.368 0.549 Si
0.632 0.368 0.951 Si
0.910 0.090 0.750 Si
```

Computed properties:
- Uncorrected energy: -8.4245 eV per atom
- Uncorrected formation energy: -323 meV/atom
- Space-group type: Cmcm
- Spin magnetization: 17.82 Bohr magnetons per cell